# 1
The following is a PBE-GGA calculation of Er2UTl2Te6 after structural relaxation, from Alexandria via LeMat-Bulk.

abc: 7.5868 7.5868 8.6667
angles: 98.46 98.46 120.10
Closest atoms and distances in Å follow each position.
Fractional positions:
Er (0.1682, 0.8318, 0.0000)  6 Te 3.07-3.09
Er (0.8318, 0.1682, 0.0000)  6 Te 3.07-3.09
U (0.5000, 0.5000, 0.0000)  6 Te 3.07-3.08
Tl (0.3338, 0.6662, 0.5000)  6 Te 3.47-3.48
Tl (0.6662, 0.3338, 0.5000)  6 Te 3.47-3.48
Te (0.0962, 0.4277, 0.7879)  1 U 3.07, 2 Er 3.07-3.08
Te (0.2370, 0.2370, 0.2110)  1 U 3.08, 2 Er 3.09
Te (0.4277, 0.0962, 0.7879)  1 U 3.07, 2 Er 3.07-3.08
Te (0.5723, 0.9038, 0.2121)  1 U 3.07, 2 Er 3.07-3.08
Te (0.7630, 0.7630, 0.7890)  1 U 3.08, 2 Er 3.09
Te (0.9038, 0.5723, 0.2121)  1 U 3.07, 2 Er 3.07-3.08

## Properties
- SG: C2/m, No. 12
- Total magnetization: 2.000 μB/f.u.
- DOS(E_F): 10.405 states/eV/f.u.
- Uncorrected energy: -4.916 eV/atom
- Uncorrected formation energy: -0.916 eV/atom

---

# 2
The following is a PBE-GGA calculation of Er2UTl3Te6 after structural relaxation, from Alexandria via LeMat-Bulk.

abc: 7.6835 7.6835 8.6172
angles: 98.55 98.55 119.99
Closest atoms and distances in Å follow each position.
Fractional positions:
Er (0.1669, 0.8331, 0.0000)  6 Te 3.08-3.09
Er (0.8331, 0.1669, 0.0000)  6 Te 3.08-3.09
U (0.5000, 0.5000, 0.0000)  6 Te 3.14
Tl (0.0000, 0.0000, 0.5000)  6 Te 3.45-3.50
Tl (0.3350, 0.6650, 0.5000)  6 Te 3.46-3.50
Tl (0.6650, 0.3350, 0.5000)  6 Te 3.46-3.50
Te (0.0895, 0.4287, 0.7863)  2 Er 3.09, 1 U 3.14
Te (0.2316, 0.2316, 0.2126)  2 Er 3.08, 1 U 3.14, 1 Tl 3.45
Te (0.4287, 0.0895, 0.7863)  2 Er 3.09, 1 U 3.14
Te (0.5713, 0.9105, 0.2137)  2 Er 3.09, 1 U 3.14
Te (0.7684, 0.7684, 0.7874)  2 Er 3.08, 1 U 3.14, 1 Tl 3.45
Te (0.9105, 0.5713, 0.2137)  2 Er 3.09, 1 U 3.14

## Properties
- SG: C2/m, No. 12
- Total magnetization: 3.016 μB/f.u.
- DOS(E_F): 3.801 states/eV/f.u.
- Uncorrected energy: -4.717 eV/atom
- Uncorrected formation energy: -0.854 eV/atom

---

# 3
The following is a PBE-GGA calculation of ErU3Tl4Te8 after structural relaxation, from Alexandria via LeMat-Bulk.

abc: 9.7473 9.7473 9.7473
angles: 53.86 53.86 53.86
Closest atoms and distances in Å follow each position.
Fractional positions:
Er (0.0000, 0.0000, 0.0000)  6 Te 3.08
U (0.0000, 0.5000, 0.5000)  6 Te 3.12-3.13
U (0.5000, 0.0000, 0.5000)  6 Te 3.12-3.13
U (0.5000, 0.5000, 0.0000)  6 Te 3.12-3.13
Tl (0.0000, 0.0000, 0.5000)  6 Te 3.47
Tl (0.0000, 0.5000, 0.0000)  6 Te 3.47
Tl (0.5000, 0.0000, 0.0000)  6 Te 3.47
Tl (0.5000, 0.5000, 0.5000)  6 Te 3.50
Te (0.2361, 0.2361, 0.7426)  1 Er 3.08, 2 U 3.13
Te (0.2361, 0.7426, 0.2361)  1 Er 3.08, 2 U 3.13
Te (0.2574, 0.7639, 0.7639)  1 Er 3.08, 2 U 3.13
Te (0.2609, 0.2609, 0.2609)  3 U 3.12, 3 Tl 3.47
Te (0.7391, 0.7391, 0.7391)  3 U 3.12, 3 Tl 3.47
Te (0.7426, 0.2361, 0.2361)  1 Er 3.08, 2 U 3.13
Te (0.7639, 0.2574, 0.7639)  1 Er 3.08, 2 U 3.13
Te (0.7639, 0.7639, 0.2574)  1 Er 3.08, 2 U 3.13

## Properties
- SG: R-3m, No. 166
- Total magnetization: 9.001 μB/f.u.
- DOS(E_F): 21.042 states/eV/f.u.
- Uncorrected energy: -5.204 eV/atom
- Uncorrected formation energy: -0.640 eV/atom

---

# 4
The following is a PBE-GGA calculation of ErU3Tl3Te8 after structural relaxation, from Alexandria via LeMat-Bulk.

abc: 8.8150 8.8447 9.7343
angles: 63.14 63.13 60.19
Closest atoms and distances in Å follow each position.
Fractional positions:
Er (0.0000, 0.0000, 0.0000)  6 Te 3.09
U (0.0000, 0.5000, 0.0000)  6 Te 3.10-3.12
U (0.5000, 0.0000, 0.0000)  6 Te 3.11-3.13
U (0.5000, 0.5000, 0.0000)  6 Te 3.11-3.12
Tl (0.0000, 0.0000, 0.5000)  6 Te 3.46-3.49
Tl (0.0000, 0.5000, 0.5000)  6 Te 3.46-3.48
Tl (0.5000, 0.0000, 0.5000)  6 Te 3.47-3.49
Te (0.2363, 0.2369, 0.7869)  1 Er 3.09, 2 U 3.11
Te (0.2365, 0.7393, 0.7875)  1 Er 3.09, 2 U 3.10-3.11
Te (0.2602, 0.2615, 0.2176)  3 U 3.12-3.13, 3 Tl 3.46-3.47
Te (0.2597, 0.7635, 0.2135)  1 Er 3.09, 2 U 3.11-3.12
Te (0.7403, 0.2365, 0.7865)  1 Er 3.09, 2 U 3.11-3.12
Te (0.7398, 0.7385, 0.7824)  3 U 3.12-3.13, 3 Tl 3.46-3.47
Te (0.7635, 0.2607, 0.2125)  1 Er 3.09, 2 U 3.10-3.11
Te (0.7637, 0.7631, 0.2131)  1 Er 3.09, 2 U 3.11

## Properties
- SG: P-1, No. 2
- Total magnetization: 2.698 μB/f.u.
- DOS(E_F): 17.634 states/eV/f.u.
- Uncorrected energy: -5.380 eV/atom
- Uncorrected formation energy: -0.669 eV/atom